# 1
Computed, not measured: crystalline ScZnNiAs at its relaxed geometry at the PBE level of DFT.

```
4
Lattice="0.000 3.147 3.147 3.147 0.000 3.147 3.147 3.147 0.000" Properties=species:S:1:pos:R:3 pbc="T T T"
Sc 0.000 0.000 0.000
Zn 1.574 1.574 1.574
Ni 3.147 3.147 3.147
As 4.721 4.721 4.721
```

Values from the calculation:
distance to the lowest polymorph of the same formula: 0.0 meV/atom
final energy: -19.289 eV per cell
symmetry: F-43m (216)
calculated volume: 62.35 Å³/f.u.

---

# 2
Computed, not measured: crystalline ScZnNiAs at its relaxed geometry at the PBE level of DFT.

```
4
Lattice="0.000 3.165 3.165 3.165 0.000 3.165 3.165 3.165 0.000" Properties=species:S:1:pos:R:3 pbc="T T T"
Sc 0.000 0.000 0.000
Zn 4.748 4.748 4.748
Ni 1.583 1.583 1.583
As 3.165 3.165 3.165
```

Values from the calculation:
distance to the lowest polymorph of the same formula: 86.4 meV/atom
final energy: -18.944 eV per cell
symmetry: F-43m (216)
calculated volume: 63.42 Å³/f.u.

---

# 3
Computed, not measured: crystalline ZrScNiAs at its relaxed geometry at the PBE level of DFT.

```
4
Lattice="0.000 3.286 3.286 3.286 0.000 3.286 3.286 3.286 0.000" Properties=species:S:1:pos:R:3 pbc="T T T"
Zr 0.000 0.000 0.000
Sc 1.643 1.643 1.643
Ni 4.929 4.929 4.929
As 3.286 3.286 3.286
```

Values from the calculation:
final energy: -25.088 eV per cell
symmetry: F-43m (216)
calculated volume: 70.96 Å³/f.u.

---

# 4
Computed, not measured: crystalline Zn2SiNiAs4 at its relaxed geometry at the PBE level of DFT.

```
8
Lattice="-2.763 2.763 5.625 2.763 -2.763 5.625 2.763 2.763 -5.625" Properties=species:S:1:pos:R:3 pbc="T T T"
Zn 0.000 0.000 0.000
Zn 0.000 2.763 2.812
Si 0.000 0.000 5.625
Ni 2.763 0.000 2.812
As 1.444 -1.252 4.201
As 1.512 1.320 1.424
As 1.320 4.015 -1.424
As 1.252 1.444 7.049
```

Values from the calculation:
final energy: -32.652 eV per cell
symmetry: I-4 (82)
calculated volume: 171.82 Å³/f.u.

---

Q: final energy of number 1 (ScZnNiAs)?
A: -19.289 eV per cell